# BeGeW3 | Alexandria | SCAN | PBEsol geometry
data_BeGeW3
_chemical_formula_sum 'Be1 Ge1 W3'
_space_group_name_H-M_alt 'P 1'
_space_group_IT_number 1
_cell_length_a 4.532
_cell_length_b 4.532
_cell_length_c 4.532
_cell_angle_alpha 90.00
_cell_angle_beta 90.00
_cell_angle_gamma 90.00
loop_
_space_group_symop_operation_xyz
'x,y,z'
loop_
_atom_site_label
_atom_site_fract_x
_atom_site_fract_y
_atom_site_fract_z
_atom_site_occupancy
Be1 0.000 0.000 0.000 1
Ge1 0.500 0.500 0.500 1
W1 0.000 0.500 0.500 1
W2 0.500 0.000 0.500 1
W3 0.500 0.500 0.000 1
# VASP energy = -44.37 eV/atom
# calculated volume = 93.08 Å³ per cell
# N(E_F) = 0.882 states/eV per atom
# space-group type = No. 221
# ΔE_f = 2.14 eV per atom
# total magnetization = 0.000 Bohr magnetons per cell